Entry 1:
Below is a geometry-optimized Ca2BIrCl structure, with properties calculated at the GGA-PBE level.

Cell: 5.5105 5.5105 4.0172 Å, 90.00 90.00 90.00°
Closest atoms and distances in Å follow each position.
Fractional positions:
Ca1 0.5000 0.0000 0.0000  2 Ir 2.76
Ca2 0.0000 0.5000 0.0000  2 Ir 2.76
B1 0.0000 0.0000 0.5000  2 Ir 2.01
Ir1 0.0000 0.0000 0.0000  2 B 2.01
Cl1 0.5000 0.5000 0.5000  8 Ca 3.41

Properties
- Total moment: 0.000 μB/cell
- E_form (uncorrected): -3.2 eV/f.u.
- Symmetry: P4/mmm, No. 123
- DOS(E_F): 0.301 states/eV/atom

Entry 2:
Below is a geometry-optimized Li3HoBr6 structure, with properties calculated at the GGA-PBE level.

Cell: 7.7561 7.9189 7.9199 Å, 60.40 59.83 59.83°
Closest atoms and distances in Å follow each position.
Fractional positions:
Li1 0.5000 0.5000 0.5000  6 Br 2.77-2.79
Li2 0.5000 0.0000 0.5000  4 Br 2.57-2.74
Li3 0.5000 0.5000 0.0000  4 Br 2.57-2.74
Br1 0.2691 0.7302 0.2307  2 Li 2.57-2.79, 1 Ho 2.78
Br2 0.7400 0.2517 0.2519  3 Li 2.74-2.77, 1 Ho 2.80
Br3 0.7309 0.2698 0.7693  2 Li 2.57-2.79, 1 Ho 2.78
Br4 0.2600 0.7483 0.7481  3 Li 2.74-2.77, 1 Ho 2.80
Br5 0.7278 0.7722 0.2669  2 Li 2.57-2.79, 1 Ho 2.78
Br6 0.2722 0.2278 0.7331  2 Li 2.57-2.79, 1 Ho 2.78
Ho1 0.0000 0.0000 0.0000  6 Br 2.78-2.80

Properties
- Total moment: 0.000 μB/cell
- E_form (uncorrected): -16.0 eV/f.u.
- Symmetry: P-1, No. 2
- DOS(E_F): 0.000 states/eV/atom

Entry 3:
Below is a geometry-optimized Ge2RuAu structure, with properties calculated at the GGA-PBE level.

Cell: 3.0403 3.0403 8.5995 Å, 79.82 79.82 60.00°
Closest atoms and distances in Å follow each position.
Fractional positions:
Ge1 0.2602 0.2602 0.2193  3 Ru 2.53
Ge2 0.0734 0.0734 0.7798  3 Ru 2.57
Au1 0.5009 0.5009 0.4974  6 Ge 2.93-2.96, 6 Au 3.04
Ru1 0.6655 0.6655 0.0035  6 Ge 2.53-2.57

Properties
- Total moment: 0.000 μB/cell
- ΔH_f (0 K): 0.04 eV/atom
- Symmetry: R3m, No. 160
- DOS(E_F): 0.650 states/eV/atom

Entry 4:
Below is a geometry-optimized Np6ScS8 structure, with properties calculated at the GGA-PBE level.

Cell: 7.7762 7.7762 7.7762 Å, 60.00 60.00 60.00°
Closest atoms and distances in Å follow each position.
Fractional positions:
S1 0.7576 0.7576 0.2424  1 Sc 2.67, 4 Np 2.75
S2 0.7500 0.7500 0.7500  6 Np 2.75
S3 0.2500 0.2500 0.2500  6 Np 2.75
S4 0.7576 0.2424 0.7576  1 Sc 2.67, 4 Np 2.75
S5 0.2424 0.7576 0.2424  1 Sc 2.67, 4 Np 2.75
S6 0.7576 0.2424 0.2424  1 Sc 2.67, 4 Np 2.75
S7 0.2424 0.2424 0.7576  1 Sc 2.67, 4 Np 2.75
S8 0.2424 0.7576 0.7576  1 Sc 2.67, 4 Np 2.75
Np1 0.0000 0.0000 0.5000  6 S 2.75
Np2 0.0000 0.5000 0.0000  6 S 2.75
Np3 0.5000 0.5000 0.0000  6 S 2.75
Np4 0.0000 0.5000 0.5000  6 S 2.75
Np5 0.5000 0.0000 0.5000  6 S 2.75
Np6 0.5000 0.0000 0.0000  6 S 2.75
Sc1 0.0000 0.0000 0.0000  6 S 2.67

Properties
- Total moment: 25.410 μB/cell
- E_form (uncorrected): -22.0 eV/f.u.
- Symmetry: Fm-3m, No. 225
- DOS(E_F): 2.759 states/eV/atom

Entry 5:
Below is a geometry-optimized Na2ZrI2 structure, with properties calculated at the GGA-PBE level.

Cell: 8.2311 8.2311 4.2918 Å, 90.00 90.00 90.00°
Closest atoms and distances in Å follow each position.
Fractional positions:
Na1 0.3496 0.1504 0.5000  6 I 3.04-3.37
Na2 0.6504 0.8496 0.5000  6 I 3.04-3.37
Na3 0.8496 0.3496 0.5000  6 I 3.04-3.37
Na4 0.1504 0.6504 0.5000  6 I 3.04-3.37
I1 0.8358 0.6642 0.0000  6 Na 3.04-3.37, 2 Zr 3.08
I2 0.3358 0.8358 0.0000  6 Na 3.04-3.37, 2 Zr 3.08
I3 0.6642 0.1642 0.0000  6 Na 3.04-3.37, 2 Zr 3.08
I4 0.1642 0.3358 0.0000  6 Na 3.04-3.37, 2 Zr 3.08
Zr1 0.5000 0.5000 0.0000  4 I 3.08
Zr2 0.0000 0.0000 0.0000  4 I 3.08

Properties
- Total moment: 3.229 μB/cell
- E_form (uncorrected): -1.2 eV/f.u.
- Symmetry: P4/mbm, No. 127
- DOS(E_F): 0.568 states/eV/atom

Entry 6:
Below is a geometry-optimized Zn5CoPd structure, with properties calculated at the GGA-PBE level.

Cell: 5.7401 5.7401 7.8104 Å, 69.60 69.60 101.53°
Closest atoms and distances in Å follow each position.
Fractional positions:
Zn1 0.8182 0.7150 0.3710  2 Co 2.45-2.46, 2 Pd 2.57-2.60, 3 Zn 2.59-2.61
Zn2 0.1818 0.2850 0.6290  2 Co 2.45-2.46, 2 Pd 2.57-2.60, 3 Zn 2.59-2.61
Zn3 0.8081 0.1919 0.2500  1 Pd 2.57, 6 Zn 2.59-2.75, 2 Co 2.59
Zn4 0.3314 0.7912 0.3960  1 Co 2.50, 4 Zn 2.59-2.75, 1 Pd 2.63
Zn5 0.1919 0.8081 0.7500  1 Pd 2.57, 6 Zn 2.59-2.75, 2 Co 2.59
Zn6 0.2088 0.6686 0.1040  1 Co 2.50, 4 Zn 2.59-2.75, 1 Pd 2.63
Zn7 0.7150 0.8182 0.8710  2 Co 2.45-2.46, 2 Pd 2.57-2.60, 3 Zn 2.59-2.61
Zn8 0.2850 0.1818 0.1290  2 Co 2.45-2.46, 2 Pd 2.57-2.60, 3 Zn 2.59-2.61
Zn9 0.6686 0.2088 0.6040  1 Co 2.50, 4 Zn 2.59-2.75, 1 Pd 2.63
Zn10 0.7912 0.3314 0.8960  1 Co 2.50, 4 Zn 2.59-2.75, 1 Pd 2.63
Pd1 0.4814 0.5186 0.7500  7 Zn 2.57-2.63
Pd2 0.5186 0.4814 0.2500  7 Zn 2.57-2.63
Co1 0.0000 0.0000 0.0000  8 Zn 2.45-2.59
Co2 0.0000 0.0000 0.5000  8 Zn 2.45-2.59

Properties
- Total moment: 0.001 μB/cell
- ΔH_f (0 K): -0.04 eV/atom
- Symmetry: C2/c, No. 15
- DOS(E_F): 0.552 states/eV/atom

Copy entry 1 word for word.
Below is a geometry-optimized Ca2BIrCl structure, with properties calculated at the GGA-PBE level.

Cell: 5.5105 5.5105 4.0172 Å, 90.00 90.00 90.00°
Closest atoms and distances in Å follow each position.
Fractional positions:
Ca1 0.5000 0.0000 0.0000  2 Ir 2.76
Ca2 0.0000 0.5000 0.0000  2 Ir 2.76
B1 0.0000 0.0000 0.5000  2 Ir 2.01
Ir1 0.0000 0.0000 0.0000  2 B 2.01
Cl1 0.5000 0.5000 0.5000  8 Ca 3.41

Properties
- Total moment: 0.000 μB/cell
- E_form (uncorrected): -3.2 eV/f.u.
- Symmetry: P4/mmm, No. 123
- DOS(E_F): 0.301 states/eV/atom